VASP calculation (GGA-PBE) on a relaxed Tl3In2Hg4Pb2 crystal.

Output
magnetic moment = 0.0 μB/f.u.
energy of formation from the pure elements = 0.032 eV per atom
total DFT energy (no corrections) = -1.896 eV/atom

Cell lengths 5.283, 5.283, 13.762 Å; angles 90.00, 90.00, 120.00 degrees
Atoms (fractional coordinates):
1 Hg 0.333 0.667 0.340
2 Hg 0.667 0.333 0.660
3 Hg 0.333 0.667 0.876
4 Hg 0.667 0.333 0.124
5 Tl 0.000 0.000 0.269
6 Tl 0.000 0.000 0.731
7 Tl 0.000 0.000 0.000
8 In 0.333 0.667 0.123
9 In 0.667 0.333 0.877
10 Pb 0.667 0.333 0.438
11 Pb 0.333 0.667 0.562

---

VASP calculation (GGA-PBE) on a relaxed Tl3In3HgPb2 crystal.

Output
magnetic moment = 0.0 μB/f.u.
energy of formation from the pure elements = 0.042 eV per atom
total DFT energy (no corrections) = -2.517 eV/atom

Cell lengths 3.531, 9.320, 9.320 Å; angles 120.00, 90.00, 90.00 degrees
Atoms (fractional coordinates):
1 Pb 0.500 0.667 0.333
2 Pb 0.500 0.333 0.667
3 In 0.000 0.364 0.000
4 In 0.000 0.636 0.636
5 In 0.000 0.000 0.364
6 Hg 0.000 0.000 0.000
7 Tl 0.500 0.711 0.000
8 Tl 0.500 0.289 0.289
9 Tl 0.500 0.000 0.711

---

VASP calculation (GGA-PBE) on a relaxed Tl4In2HgPb crystal.

Output
magnetic moment = 0.0 μB/f.u.
energy of formation from the pure elements = 0.020 eV per atom
total DFT energy (no corrections) = -2.349 eV/atom

Cell lengths 5.636, 5.530, 9.412 Å; angles 53.56, 90.00, 90.00 degrees
Atoms (fractional coordinates):
1 Hg 0.000 0.500 0.500
2 In 0.500 0.000 0.500
3 In 0.000 0.000 0.000
4 Tl 0.500 0.258 0.742
5 Tl 0.500 0.742 0.258
6 Tl 0.000 0.758 0.742
7 Tl 0.000 0.242 0.258
8 Pb 0.500 0.500 0.000

---

VASP calculation (GGA-PBE) on a relaxed TlIn2Hg2Pb6 crystal.

Output
magnetic moment = 0.0 μB/f.u.
energy of formation from the pure elements = 0.012 eV per atom
total DFT energy (no corrections) = -2.778 eV/atom

Cell lengths 9.397, 11.703, 15.314 Å; angles 158.77, 127.01, 39.08 degrees
Atoms (fractional coordinates):
1 Pb 0.768 0.005 0.410
2 Pb 0.695 0.993 0.780
3 Pb 0.037 0.995 0.312
4 Pb 0.305 0.007 0.220
5 Pb 0.963 0.005 0.688
6 Pb 0.232 0.995 0.590
7 Hg 0.141 0.998 0.953
8 Hg 0.859 0.002 0.047
9 Tl 0.500 0.000 0.500
10 In 0.419 0.999 0.870
11 In 0.581 0.001 0.130

---

VASP calculation (GGA-PBE) on a relaxed TlInHgPb2 crystal.

Output
magnetic moment = 0.0 μB/f.u.
energy of formation from the pure elements = 0.014 eV per atom
total DFT energy (no corrections) = -2.551 eV/atom

Cell lengths 5.267, 7.289, 7.616 Å; angles 89.35, 90.00, 90.00 degrees
Atoms (fractional coordinates):
1 In 0.250 0.938 0.843
2 In 0.750 0.062 0.157
3 Tl 0.750 0.256 0.748
4 Tl 0.250 0.744 0.252
5 Pb 0.750 0.843 0.545
6 Pb 0.750 0.661 0.957
7 Pb 0.250 0.339 0.043
8 Pb 0.250 0.157 0.455
9 Hg 0.750 0.448 0.347
10 Hg 0.250 0.552 0.653

---

VASP calculation (GGA-PBE) on a relaxed Tl6In2Hg2Pb crystal.

Output
magnetic moment = 0.0 μB/f.u.
energy of formation from the pure elements = 0.023 eV per atom
total DFT energy (no corrections) = -2.157 eV/atom

Cell lengths 13.952, 9.753, 10.749 Å; angles 123.76, 75.37, 50.88 degrees
Atoms (fractional coordinates):
1 Pb 0.500 0.000 0.500
2 Tl 0.519 0.630 0.146
3 Tl 0.702 0.052 0.293
4 Tl 0.481 0.370 0.854
5 Tl 0.373 0.957 0.028
6 Tl 0.627 0.043 0.972
7 Tl 0.298 0.948 0.707
8 In 0.901 0.298 0.289
9 In 0.099 0.702 0.711
10 Hg 0.892 0.363 0.764
11 Hg 0.108 0.637 0.236

---

VASP calculation (GGA-PBE) on a relaxed Tl4InHgPb2 crystal.

Output
magnetic moment = 0.0 μB/f.u.
energy of formation from the pure elements = 0.022 eV per atom
total DFT energy (no corrections) = -2.468 eV/atom

Cell lengths 5.573, 9.553, 5.443 Å; angles 55.57, 90.00, 90.00 degrees
Atoms (fractional coordinates):
1 In 0.500 0.500 0.000
2 Tl 0.000 0.263 0.238
3 Tl 0.500 0.262 0.739
4 Tl 0.500 0.738 0.261
5 Tl 0.000 0.737 0.762
6 Pb 0.500 0.000 0.500
7 Pb 0.000 0.000 0.000
8 Hg 0.000 0.500 0.500

---

VASP calculation (GGA-PBE) on a relaxed TlIn2Hg2Pb2 crystal.

Output
magnetic moment = 0.0 μB/f.u.
energy of formation from the pure elements = 0.081 eV per atom
total DFT energy (no corrections) = -2.186 eV/atom

Cell lengths 5.023, 5.023, 10.287 Å; angles 90.00, 90.00, 120.00 degrees
Atoms (fractional coordinates):
1 In 0.333 0.667 0.439
2 In 0.667 0.333 0.561
3 Tl 0.000 0.000 0.000
4 Pb 0.000 0.000 0.322
5 Pb 0.000 0.000 0.678
6 Hg 0.667 0.333 0.158
7 Hg 0.333 0.667 0.842